(1)
# Li13Ti22O48

Crystalline Li13Ti22O48 at its relaxed geometry (PBE, Alexandria via LeMat-Bulk).

Cell: 5.972 10.344 15.793 Å, 109.02 100.90 90.00°
Element x y z (fractional)
O: 0.189 0.673 0.379
O: 0.099 0.778 0.198
O: 0.412 0.449 0.380
O: 0.742 0.118 0.048
O: 0.598 0.262 0.196
O: 0.127 0.285 0.721
O: 0.265 0.597 0.530
O: 0.937 0.455 0.873
O: 0.765 0.098 0.529
O: 0.102 0.285 0.204
O: 0.714 0.677 0.871
O: 0.523 0.342 0.047
O: 0.498 0.341 0.530
O: 0.255 0.622 0.042
O: 0.337 0.503 0.209
O: 0.467 0.948 0.379
O: 0.032 0.341 0.530
O: 0.157 0.677 0.871
O: 0.193 0.193 0.387
O: 0.360 0.029 0.720
O: 0.930 0.931 0.859
O: 0.024 0.836 0.048
O: 0.657 0.177 0.871
O: 0.968 0.449 0.380
O: 0.360 0.516 0.721
O: 0.214 0.177 0.871
O: 0.431 0.433 0.863
O: 0.992 0.843 0.537
O: 0.860 0.525 0.721
O: 0.825 0.010 0.205
O: 0.912 0.948 0.379
O: 0.872 0.503 0.209
O: 0.027 0.348 0.054
O: 0.602 0.785 0.204
O: 0.544 0.843 0.537
O: 0.080 0.781 0.713
O: 0.633 0.781 0.713
O: 0.769 0.618 0.537
O: 0.786 0.622 0.042
O: 0.306 0.118 0.048
O: 0.594 0.285 0.721
O: 0.689 0.169 0.378
O: 0.528 0.864 0.057
O: 0.435 0.952 0.870
O: 0.856 0.007 0.712
O: 0.379 0.010 0.205
O: 0.265 0.109 0.529
O: 0.694 0.693 0.387
Li: 0.166 0.836 0.333
Li: 0.834 0.170 0.668
Li: 0.063 0.562 0.126
Li: 0.666 0.334 0.333
Li: 0.460 0.791 0.920
Li: 0.791 0.455 0.582
Li: 0.959 0.290 0.918
Li: 0.291 0.959 0.582
Li: 0.624 0.621 0.248
Li: 0.500 0.502 0.000
Li: 0.124 0.123 0.247
Li: 0.313 0.312 0.625
Li: 0.334 0.667 0.668
Ti: 0.986 0.150 0.463
Ti: 0.820 0.807 0.124
Ti: 0.728 0.893 0.456
Ti: 0.639 0.476 0.787
Ti: 0.148 0.476 0.787
Ti: 0.981 0.640 0.962
Ti: 0.144 0.483 0.287
Ti: 0.305 0.807 0.124
Ti: 0.898 0.734 0.797
Ti: 0.307 0.317 0.124
Ti: 0.978 0.643 0.458
Ti: 0.562 0.064 0.124
Ti: 0.480 0.643 0.458
Ti: 0.476 0.150 0.463
Ti: 0.646 0.982 0.291
Ti: 0.394 0.229 0.788
Ti: 0.231 0.395 0.462
Ti: 0.480 0.141 0.960
Ti: 0.817 0.317 0.124
Ti: 0.648 0.981 0.793
Ti: 0.813 0.813 0.625
Ti: 0.144 0.981 0.793

**VASP energy**: -8.093 eV per atom
**DOS(E_F)**: 0.24 states/eV per atom
**Total moment**: 0.0 Bohr magnetons per cell
**Formation energy (no corrections)**: -2833 meV per atom

---

(2)
# Hg5AsI2

Crystalline Hg5AsI2 at its relaxed geometry (PBE, Alexandria via LeMat-Bulk).

Cell: 7.146 7.144 7.160 Å, 119.93 119.94 90.00°
Element x y z (fractional)
Hg: 0.749 0.286 0.035
Hg: 0.749 0.749 0.035
Hg: 0.703 0.703 0.406
Hg: 0.286 0.749 0.035
Hg: 0.285 0.286 0.035
I: 0.271 0.771 0.542
I: 0.771 0.271 0.542
As: 0.963 0.963 0.926

**VASP energy**: -1.153 eV per atom
**DOS(E_F)**: 0.34 states/eV per atom
**Total moment**: 0.0 Bohr magnetons per cell
**Formation energy (no corrections)**: 5 meV per atom

---

(3)
# Rb3Sn5F12

Crystalline Rb3Sn5F12 at its relaxed geometry (PBE, Alexandria via LeMat-Bulk).

Cell: 13.308 13.308 13.308 Å, 109.47 109.47 109.47°
Each line ends with the local moment (μB).
Element x y z (fractional)
Sn: 0.500 0.000 0.000  0.02
Sn: 0.125 0.375 0.250  0.08
Sn: 0.750 0.625 0.375  0.08
Sn: 0.625 0.875 0.250  0.08
Sn: 0.000 0.500 0.500  0.02
Sn: 0.750 0.125 0.875  0.08
Sn: 0.125 0.750 0.375  0.08
Sn: 0.250 0.875 0.125  0.08
Sn: 0.250 0.375 0.625  0.08
Sn: 0.500 0.500 0.500  0.02
Sn: 0.625 0.750 0.875  0.08
Sn: 0.500 0.000 0.500  0.02
Sn: 0.375 0.125 0.750  0.08
Sn: 0.375 0.250 0.125  0.08
Sn: 0.000 0.500 0.000  0.02
Sn: 0.000 0.000 0.500  0.02
Sn: 0.000 0.000 0.000  0.02
Sn: 0.500 0.500 0.000  0.02
Sn: 0.875 0.625 0.750  0.08
Sn: 0.875 0.250 0.625  0.08
F: 0.877 0.301 0.475  0.01
F: 0.826 0.924 0.301  0.01
F: 0.975 0.598 0.174  0.01
F: 0.123 0.699 0.525  0.01
F: 0.801 0.475 0.377  0.01
F: 0.475 0.801 0.877  0.01
F: 0.402 0.025 0.326  0.01
F: 0.025 0.623 0.699  0.01
F: 0.199 0.525 0.623  0.01
F: 0.098 0.924 0.123  0.01
F: 0.598 0.975 0.674  0.01
F: 0.877 0.576 0.902  0.01
F: 0.623 0.598 0.924  0.01
F: 0.076 0.902 0.377  0.01
F: 0.525 0.199 0.123  0.01
F: 0.402 0.377 0.576  0.01
F: 0.623 0.025 0.199  0.01
F: 0.424 0.301 0.326  0.01
F: 0.377 0.975 0.801  0.01
F: 0.699 0.576 0.174  0.01
F: 0.377 0.402 0.076  0.01
F: 0.975 0.377 0.301  0.01
F: 0.098 0.174 0.475  0.01
F: 0.424 0.123 0.598  0.01
F: 0.174 0.076 0.699  0.01
F: 0.924 0.098 0.623  0.01
F: 0.076 0.174 0.199  0.01
F: 0.598 0.623 0.424  0.01
F: 0.199 0.674 0.076  0.01
F: 0.826 0.902 0.025  0.01
F: 0.902 0.076 0.877  0.01
F: 0.801 0.326 0.924  0.01
F: 0.123 0.424 0.098  0.01
F: 0.326 0.801 0.424  0.01
F: 0.674 0.475 0.598  0.01
F: 0.301 0.424 0.826  0.01
F: 0.174 0.098 0.975  0.01
F: 0.674 0.199 0.576  0.01
F: 0.301 0.877 0.975  0.01
F: 0.326 0.525 0.402  0.01
F: 0.902 0.826 0.525  0.01
F: 0.924 0.826 0.801  0.01
F: 0.025 0.402 0.826  0.01
F: 0.576 0.699 0.674  0.01
F: 0.475 0.674 0.098  0.01
F: 0.699 0.123 0.025  0.01
F: 0.525 0.326 0.902  0.01
F: 0.576 0.877 0.402  0.01
Rb: 0.750 0.875 0.625  0.00
Rb: 0.250 0.125 0.375  0.00
Rb: 0.875 0.750 0.125  0.00
Rb: 0.625 0.250 0.375  0.00
Rb: 0.750 0.375 0.125  0.00
Rb: 0.250 0.625 0.875  0.00
Rb: 0.375 0.750 0.625  0.00
Rb: 0.125 0.250 0.875  0.00
Rb: 0.875 0.125 0.250  0.00
Rb: 0.625 0.375 0.750  0.00
Rb: 0.125 0.875 0.750  0.00
Rb: 0.375 0.625 0.250  0.00

**VASP energy**: -4.489 eV per atom
**DOS(E_F)**: 0.33 states/eV per atom
**Total moment**: 3.7 Bohr magnetons per cell
**Formation energy (no corrections)**: -2221 meV per atom

---

(4)
# Ta3PtI

Crystalline Ta3PtI at its relaxed geometry (PBE, Alexandria via LeMat-Bulk).

Cell: 4.972 4.972 4.972 Å, 90.00 90.00 90.00°
Element x y z (fractional)
I: 0.500 0.500 0.500
Ta: 0.000 0.000 0.500
Ta: 0.500 0.000 0.000
Ta: 0.000 0.500 0.000
Pt: 0.000 0.000 0.000

**VASP energy**: -7.326 eV per atom
**DOS(E_F)**: 0.79 states/eV per atom
**Total moment**: 0.0 Bohr magnetons per cell
**Formation energy (no corrections)**: 1303 meV per atom

---

(5)
# CsP2Pb2

Crystalline CsP2Pb2 at its relaxed geometry (PBE, Alexandria via LeMat-Bulk).

Cell: 5.204 5.204 7.040 Å, 68.31 68.31 90.00°
Element x y z (fractional)
Cs: 0.000 0.000 0.000
Pb: 0.656 0.656 0.689
Pb: 0.344 0.344 0.311
P: 0.250 0.750 0.500
P: 0.750 0.250 0.500

**VASP energy**: -3.825 eV per atom
**DOS(E_F)**: 0.97 states/eV per atom
**Total moment**: 0.0 Bohr magnetons per cell

---

(6)
# Mn6AlCr5

Crystalline Mn6AlCr5 at its relaxed geometry (PBE, Alexandria via LeMat-Bulk).

Cell: 3.993 5.659 6.311 Å, 90.00 108.42 90.00°
Element x y z (fractional)
Al: 0.000 0.000 0.000
Mn: 0.169 0.748 0.339
Mn: 0.831 0.748 0.661
Mn: 0.169 0.252 0.339
Mn: 0.831 0.252 0.661
Mn: 0.500 0.255 0.000
Mn: 0.500 0.745 0.000
Cr: 0.664 0.000 0.328
Cr: 0.000 0.500 0.000
Cr: 0.336 0.000 0.672
Cr: 0.332 0.500 0.663
Cr: 0.668 0.500 0.337

**VASP energy**: -8.947 eV per atom
**DOS(E_F)**: 0.88 states/eV per atom
**Total moment**: 0.0 Bohr magnetons per cell

---

(7)
# SrMg6CO8

Crystalline SrMg6CO8 at its relaxed geometry (PBE, Alexandria via LeMat-Bulk).

Cell: 4.439 4.439 8.752 Å, 90.00 90.00 90.00°
Element x y z (fractional)
O: 0.000 0.000 0.728
O: 0.000 0.000 0.272
O: 0.000 0.500 0.000
O: 0.500 0.000 0.000
O: 0.000 0.500 0.500
O: 0.500 0.500 0.254
O: 0.500 0.000 0.500
O: 0.500 0.500 0.746
Sr: 0.000 0.000 0.000
Mg: 0.500 0.000 0.742
Mg: 0.000 0.000 0.500
Mg: 0.500 0.500 0.500
Mg: 0.000 0.500 0.742
Mg: 0.500 0.000 0.258
Mg: 0.000 0.500 0.258
C: 0.500 0.500 0.000

**VASP energy**: -5.655 eV per atom
**Total moment**: 0.0 Bohr magnetons per cell
**Formation energy (no corrections)**: -1897 meV per atom

---

(8)
# TbPr3Nd2Er6

Crystalline TbPr3Nd2Er6 at its relaxed geometry (PBE, Alexandria via LeMat-Bulk).

Cell: 6.239 6.239 11.784 Å, 95.05 95.05 119.99°
Element x y z (fractional)
Er: 0.250 0.250 0.752
Er: 0.083 0.416 0.248
Er: 0.750 0.750 0.248
Er: 0.917 0.584 0.752
Er: 0.584 0.917 0.752
Er: 0.416 0.083 0.248
Tb: 0.000 0.000 0.000
Nd: 0.334 0.666 0.000
Nd: 0.666 0.334 0.000
Pr: 0.167 0.833 0.500
Pr: 0.500 0.500 0.500
Pr: 0.833 0.167 0.500

**VASP energy**: -4.641 eV per atom
**DOS(E_F)**: 1.09 states/eV per atom
**Total moment**: 0.0 Bohr magnetons per cell

---

Which formula does entry 1 have? Li13Ti22O48